Ir3Ru2Rh5: relaxed, PBE-GGA.

The value obtained for the formation energy is 5.68 eV per formula unit.

The structure belongs to space group Ibam (No. 72); the cell edges are 10.117, 12.478 and 5.051 Å and the angles 90.00°, 90.00° and 90.00°. The asymmetric unit holds Ir at (0.000, 0.000, 0.250), Ir at (0.135, 0.349, 0.000), Ru at (0.122, 0.274, 0.500), Rh at (0.000, 0.500, 0.250), Rh at (0.116, 0.154, 0.000) and Rh at (0.247, 0.000, 0.250).



Ta2SbP: relaxed, PBE-GGA.

As for the uncorrected formation energy: -0.07 eV/atom.

The structure belongs to space group Immm (No. 71); the cell edges are 3.641, 5.196 and 7.810 Å and the angles 90.00°, 90.00° and 90.00°. The asymmetric unit holds Ta at (0.000, 0.000, 0.201), Sb at (0.000, 0.500, 0.000) and P at (0.000, 0.500, 0.500).



Ho2Be2CdPd5: relaxed, PBE-GGA.

The value obtained for the formation energy is -7.34 eV per formula unit.

The structure belongs to space group P4/mbm (No. 127); the cell edges are 9.678, 9.678 and 3.502 Å and the angles 90.00°, 90.00° and 90.00°. The asymmetric unit holds Ho at (0.178, 0.322, 0.000), Be at (0.118, 0.618, 0.000), Cd at (0.000, 0.000, 0.000), Pd at (0.000, 0.500, 0.500) and Pd at (0.070, 0.780, 0.500).



La3PbW: relaxed, PBE-GGA.

The value obtained for the formation energy is 0.79 eV per formula unit.

The structure belongs to space group Pm-3m (No. 221); the cell edges are 5.538, 5.538 and 5.538 Å and the angles 90.00°, 90.00° and 90.00°. The asymmetric unit holds La at (0.000, 0.000, 0.500), Pb at (0.500, 0.500, 0.500) and W at (0.000, 0.000, 0.000).



| no. | raw total energy (hartree per atom) |
| --- | --- |
| 1 | -0.280 |
| 2 | -0.308 |
| 3 | -0.187 |
| 4 | -0.225 |